[1]
DFT (PBE-GGA) results for Sr2Ag4Sn3Pb after structural relaxation.

The structure in POSCAR format:
```
Sr2Ag4Sn3Pb
1.0
4.7427 0.0000 0.0000
0.0000 4.7427 0.0000
0.0000 0.0000 11.9062
Sr Ag Sn Pb
2 4 3 1
Direct
0.5000 0.0000 0.2371 Sr
0.0000 0.5000 0.7629 Sr
0.5000 0.5000 0.0000 Ag
0.0000 0.0000 0.0000 Ag
0.5000 0.0000 0.6450 Ag
0.0000 0.5000 0.3550 Ag
0.0000 0.0000 0.5000 Sn
0.5000 0.0000 0.8729 Sn
0.0000 0.5000 0.1271 Sn
0.5000 0.5000 0.5000 Pb
```

Properties
The density of states at the Fermi level comes out at 5.83 states/eV/f.u. The size of the total moment is 0.0000 μB per atom. The space-group type is P-4m2 (115). The calculation puts the calculated volume at 26.8 A^3/atom. Its formation energy is -314 meV per atom.

[2]
DFT (PBE-GGA) results for ZrCd2Ga after structural relaxation.

The structure in POSCAR format:
```
ZrCd2Ga
1.0
-4.4559 -4.3775 4.7809
6.4155 -2.1477 4.0128
0.6421 -1.0160 6.1392
Ga Zr Cd
2 2 4
Direct
0.5000 0.5000 0.0000 Ga
0.2500 0.7500 0.5000 Ga
0.0000 0.0000 0.0000 Zr
0.7500 0.2500 0.5000 Zr
0.5935 0.1250 0.2500 Cd
0.1565 0.6250 0.2500 Cd
0.3750 0.4065 0.7500 Cd
0.8750 0.8435 0.7500 Cd
```

Properties
The density of states at the Fermi level comes out at 4.30 states/eV/f.u. The size of the total moment is 0.0000 μB per atom. The space-group type is I-42d (122). The calculation puts the calculated volume at 22.1 A^3/atom. Its formation energy is 85 meV per atom.